(1)
Sc2IrCl (PBE, relaxed); Fermi-level density of states = 0.0964 states/eV/atom; E_form (uncorrected) = -1.071 eV per atom; symmetry = No. 166; energy relative to the lowest polymorph listed for this composition = 89 meV/atom; raw total energy = -6.914 eV/atom; V = 25.77 A^3/atom
1.0
-1.9927 -1.7586 7.4331
0.6186 -4.5669 6.4090
1.9004 -1.0028 7.5959
Sc Cl Ir
2 1 1
Direct
0.1105 0.1105 0.1105
0.8895 0.8895 0.8895
0.0000 0.0000 0.0000
0.5000 0.5000 0.5000

=====

(2)
ScIr2Cl (PBE, relaxed); Fermi-level density of states = 1.0838 states/eV/atom; E_form (uncorrected) = -0.123 eV per atom; symmetry = No. 139; energy relative to the lowest polymorph listed for this composition = 301 meV/atom; raw total energy = -6.598 eV/atom; V = 17.38 A^3/atom
1.0
-2.3849 2.9594 4.4184
-4.6846 -1.4761 3.1375
5.0469 -2.0059 -2.1149
Cl Sc Ir
1 1 2
Direct
0.7500 0.2500 0.5000
0.2500 0.7500 0.5000
0.0000 0.0000 0.0000
0.5000 0.5000 0.0000

=====

(3)
Sc2IrCl (PBE, relaxed); Fermi-level density of states = 0.3749 states/eV/atom; E_form (uncorrected) = -0.542 eV per atom; symmetry = No. 160; energy relative to the lowest polymorph listed for this composition = 618 meV/atom; raw total energy = -6.384 eV/atom; V = 22.06 A^3/atom
1.0
9.9370 0.0283 0.0166
9.4027 3.2145 0.0166
9.4027 1.5766 2.8014
Sc Ir Cl
2 1 1
Direct
0.0065 0.0065 0.0065
0.2425 0.2425 0.2425
0.7342 0.7342 0.7342
0.5167 0.5167 0.5167

=====

(4)
Sc2IrCl (PBE, relaxed); Fermi-level density of states = 0.6779 states/eV/atom; E_form (uncorrected) = -0.819 eV per atom; symmetry = No. 65; energy relative to the lowest polymorph listed for this composition = 341 meV/atom; raw total energy = -6.662 eV/atom; V = 18.00 A^3/atom
1.0
-2.1882 -2.5838 3.4822
4.2092 -0.3008 2.4046
-0.6685 2.5776 1.4926
Cl Sc Ir
1 2 1
Direct
0.5000 0.0000 0.5000
0.0000 0.0000 0.0000
0.5000 0.5000 0.0000
0.0000 0.5000 0.5000

=====

(5)
ScIrCl (PBE, relaxed); Fermi-level density of states = 0.5864 states/eV/atom; E_form (uncorrected) = -0.162 eV per atom; symmetry = No. 216; energy relative to the lowest polymorph listed for this composition = 646 meV/atom; raw total energy = -5.842 eV/atom; V = 20.30 A^3/atom
1.0
4.4159 0.0000 0.0000
2.2080 3.8243 0.0000
2.2080 1.2748 3.6056
Sc Ir Cl
1 1 1
Direct
0.0000 0.0000 0.0000
0.7500 0.7500 0.7500
0.5000 0.5000 0.5000

=====

(6)
ScIr2Cl (PBE, relaxed); Fermi-level density of states = 1.3989 states/eV/atom; E_form (uncorrected) = 0.096 eV per atom; symmetry = No. 123; energy relative to the lowest polymorph listed for this composition = 519 meV/atom; raw total energy = -6.379 eV/atom; V = 16.63 A^3/atom
1.0
2.9361 0.0000 0.0000
0.0000 2.9361 0.0000
0.0000 0.0000 7.7185
Sc Ir Cl
1 2 1
Direct
0.5000 0.5000 0.2500
0.0000 0.0000 0.4961
0.0000 0.0000 0.0039
0.5000 0.5000 0.7500

=====

(7)
ScIr2Cl (PBE, relaxed); Fermi-level density of states = 1.0861 states/eV/atom; E_form (uncorrected) = 0.010 eV per atom; symmetry = No. 47; energy relative to the lowest polymorph listed for this composition = 433 meV/atom; raw total energy = -6.465 eV/atom; V = 16.94 A^3/atom
1.0
3.0361 0.0000 0.0000
0.0000 4.3649 0.0000
0.0000 0.0000 5.1127
Ir Cl Sc
2 1 1
Direct
0.0000 0.0000 0.0011
0.0000 0.0000 0.4989
0.5000 0.5000 0.7500
0.5000 0.5000 0.2500

=====

(8)
ScIr2Cl (PBE, relaxed); Fermi-level density of states = 0.8884 states/eV/atom; E_form (uncorrected) = -0.122 eV per atom; symmetry = No. 123; energy relative to the lowest polymorph listed for this composition = 301 meV/atom; raw total energy = -6.597 eV/atom; V = 17.63 A^3/atom
1.0
5.3982 0.0000 0.0000
0.0000 3.6147 0.0000
0.0000 0.0000 3.6147
Ir Sc Cl
2 1 1
Direct
0.0000 0.5000 0.5000
0.0000 0.0000 0.0000
0.5000 0.5000 0.0000
0.5000 0.0000 0.5000